1.
Compound: Dy3Tm3Si4
Source: Alexandria
Functional: PBE
Structure: optimized geometry

Structure (CIF):
```
data_Dy3Tm3Si4
_cell_length_a 4.204
_cell_length_b 10.487
_cell_length_c 10.463
_cell_angle_alpha 90.00
_cell_angle_beta 90.00
_cell_angle_gamma 90.00
_space_group_name_H-M_alt 'A m m 2'
_space_group_IT_number 38
loop_
_space_group_symop_operation_xyz
'x,y,z'
'-x,-y,z'
'-x,y,z'
'x,-y,z'
'x,y+1/2,z+1/2'
'-x,-y+1/2,z+1/2'
'-x,y+1/2,z+1/2'
'x,-y+1/2,z+1/2'
loop_
_atom_site_label
_atom_site_type_symbol
_atom_site_fract_x
_atom_site_fract_y
_atom_site_fract_z
Dy1 Dy 0.000 0.000 0.000
Dy2 Dy 0.000 0.176 0.675
Tm1 Tm 0.000 0.000 0.351
Tm2 Tm 0.500 0.250 0.425
Si1 Si 0.500 0.000 0.556
Si2 Si 0.500 0.000 0.792
Si3 Si 0.500 0.117 0.177
```

D(E_F), states/eV per cell: 15.9
Spin magnetization, μB/f.u.: 0.00
Uncorrected energy, eV per atom: -5.610

=====

2.
Compound: CuAgO2
Source: Alexandria
Functional: PBE
Structure: optimized geometry

Structure (CIF):
```
data_CuAgO2
_cell_length_a 3.0015
_cell_length_b 3.0015
_cell_length_c 17.4273
_cell_angle_alpha 90.00
_cell_angle_beta 90.00
_cell_angle_gamma 120.00
_space_group_name_H-M_alt 'R 3 m'
_space_group_IT_number 160
_space_group_name_Hall 'R 3 -2"'
loop_
_atom_site_label
_atom_site_type_symbol
_atom_site_fract_x
_atom_site_fract_y
_atom_site_fract_z
Cu1 Cu 0.0000 0.0000 0.0000
Ag1 Ag 0.0000 0.0000 0.8322
O1 O 0.0000 0.0000 0.3942
O2 O 0.0000 0.0000 0.6058
```

D(E_F), states/eV per cell: 9.6
Spin magnetization, μB/f.u.: 1.48
Uncorrected energy, eV per atom: -4.434

=====

3.
Compound: Cd2CoMo
Source: Alexandria
Functional: PBE
Structure: optimized geometry

Structure (CIF):
```
data_Cd2CoMo
_cell_length_a 2.915
_cell_length_b 2.915
_cell_length_c 7.969
_cell_angle_alpha 90.00
_cell_angle_beta 90.17
_cell_angle_gamma 90.00
_space_group_name_H-M_alt 'P 1 m 1'
_space_group_IT_number 6
loop_
_space_group_symop_operation_xyz
'x,y,z'
'x,-y,z'
loop_
_atom_site_label
_atom_site_type_symbol
_atom_site_fract_x
_atom_site_fract_y
_atom_site_fract_z
Cd1 Cd 0.000 0.000 0.000
Cd2 Cd 0.496 0.500 0.308
Co1 Co 0.499 0.500 0.762
Mo1 Mo 0.997 0.000 0.585
```

D(E_F), states/eV per cell: 3.4
Calculated formation energy, meV/atom: 186
Spin magnetization, μB/f.u.: 0.67
Uncorrected energy, eV per atom: -4.756
Polymorph energy (0 for the lowest one), meV per atom: 0.0

=====

4.
Compound: Ta2GaBr8
Source: Alexandria
Functional: PBE
Structure: optimized geometry

Structure (CIF):
```
data_Ta2GaBr8
_cell_length_a 14.109
_cell_length_b 10.040
_cell_length_c 7.231
_cell_angle_alpha 90.00
_cell_angle_beta 101.16
_cell_angle_gamma 90.00
_space_group_name_H-M_alt 'C 1 2/m 1'
_space_group_IT_number 12
loop_
_space_group_symop_operation_xyz
'x,y,z'
'-x,-y,-z'
'-x,y,-z'
'x,-y,z'
'x+1/2,y+1/2,z'
'-x+1/2,-y+1/2,-z'
'-x+1/2,y+1/2,-z'
'x+1/2,-y+1/2,z'
loop_
_atom_site_label
_atom_site_type_symbol
_atom_site_fract_x
_atom_site_fract_y
_atom_site_fract_z
Ta1 Ta 0.205 0.000 0.154
Ga1 Ga 0.000 0.000 0.500
Br1 Br 0.113 0.182 0.268
Br2 Br 0.125 0.500 0.699
Br3 Br 0.194 0.000 0.810
```

D(E_F), states/eV per cell: 21.6
Spin magnetization, μB/f.u.: 3.00
Uncorrected energy, eV per atom: -4.216

=====

5.
Compound: MgSnBr2
Source: Alexandria
Functional: PBE
Structure: optimized geometry

Structure (CIF):
```
data_MgSnBr2
_cell_length_a 8.146
_cell_length_b 8.146
_cell_length_c 6.790
_cell_angle_alpha 90.00
_cell_angle_beta 90.00
_cell_angle_gamma 90.00
_space_group_name_H-M_alt 'I -4 2 d'
_space_group_IT_number 122
_space_group_name_Hall 'I -4 2bw'
loop_
_atom_site_label
_atom_site_type_symbol
_atom_site_fract_x
_atom_site_fract_y
_atom_site_fract_z
Mg1 Mg 0.000 0.000 0.000
Sn1 Sn 0.000 0.000 0.500
Br1 Br 0.202 0.750 0.125
```

D(E_F), states/eV per cell: 2.9
Spin magnetization, μB/f.u.: 0.00
Uncorrected energy, eV per atom: -2.703
Polymorph energy (0 for the lowest one), meV per atom: 371.8

=====

6.
Compound: Pm5U3S8
Source: Alexandria
Functional: PBE
Structure: optimized geometry

Structure (CIF):
```
data_Pm5U3S8
_cell_length_a 7.9231
_cell_length_b 7.9231
_cell_length_c 19.6012
_cell_angle_alpha 90.00
_cell_angle_beta 90.00
_cell_angle_gamma 120.00
_space_group_name_H-M_alt 'R -3 m'
_space_group_IT_number 166
_space_group_name_Hall '-R 3 2"'
loop_
_atom_site_label
_atom_site_type_symbol
_atom_site_fract_x
_atom_site_fract_y
_atom_site_fract_z
Pm1 Pm 0.0000 0.0000 0.0000
Pm2 Pm 0.0000 0.0000 0.5000
Pm3 Pm 0.0000 0.5000 0.0000
U1 U 0.0000 0.5000 0.5000
S1 S 0.0000 0.0000 0.2465
S2 S 0.0051 0.5026 0.7526
```

D(E_F), states/eV per cell: 66.4
Spin magnetization, μB/f.u.: 7.96
Uncorrected energy, eV per atom: -7.421

=====

7.
Compound: Sm2YTm5
Source: Alexandria
Functional: PBE
Structure: optimized geometry

Structure (CIF):
```
data_Sm2YTm5
_cell_length_a 16.121
_cell_length_b 9.765
_cell_length_c 6.478
_cell_angle_alpha 90.00
_cell_angle_beta 98.43
_cell_angle_gamma 90.00
_space_group_name_H-M_alt 'C 1 2/c 1'
_space_group_IT_number 15
loop_
_space_group_symop_operation_xyz
'x,y,z'
'-x,-y,-z'
'-x,y,-z+1/2'
'x,-y,z+1/2'
'x+1/2,y+1/2,z'
'-x+1/2,-y+1/2,-z'
'-x+1/2,y+1/2,-z+1/2'
'x+1/2,-y+1/2,z+1/2'
loop_
_atom_site_label
_atom_site_type_symbol
_atom_site_fract_x
_atom_site_fract_y
_atom_site_fract_z
Sm1 Sm 0.077 0.244 0.115
Y1 Y 0.250 0.250 0.000
Tm1 Tm 0.000 0.443 0.750
Tm2 Tm 0.101 0.091 0.645
Tm3 Tm 0.196 0.412 0.520
```

D(E_F), states/eV per cell: 47.1
Calculated formation energy, meV/atom: 174
Spin magnetization, μB/f.u.: 0.00
Uncorrected energy, eV per atom: -4.608
Polymorph energy (0 for the lowest one), meV per atom: 149.2

=====

8.
Compound: CaTm2MgIn4
Source: Alexandria
Functional: PBE
Structure: optimized geometry

Structure (CIF):
```
data_CaTm2MgIn4
_cell_length_a 5.2404
_cell_length_b 5.2404
_cell_length_c 26.0957
_cell_angle_alpha 90.00
_cell_angle_beta 90.00
_cell_angle_gamma 120.00
_space_group_name_H-M_alt 'R -3 m'
_space_group_IT_number 166
_space_group_name_Hall '-R 3 2"'
loop_
_atom_site_label
_atom_site_type_symbol
_atom_site_fract_x
_atom_site_fract_y
_atom_site_fract_z
Ca1 Ca 0.0000 0.0000 0.0000
Tm1 Tm 0.0000 0.0000 0.2461
Mg1 Mg 0.0000 0.0000 0.5000
In1 In 0.0000 0.0000 0.1257
In2 In 0.0000 0.0000 0.3765
```

D(E_F), states/eV per cell: 15.9
Calculated formation energy, meV/atom: -335
Spin magnetization, μB/f.u.: 0.00
Uncorrected energy, eV per atom: -3.271

=====

9.
Compound: Pm2NdY4
Source: Alexandria
Functional: PBE
Structure: optimized geometry

Structure (CIF):
```
data_Pm2NdY4
_cell_length_a 16.950
_cell_length_b 3.582
_cell_length_c 8.871
_cell_angle_alpha 90.00
_cell_angle_beta 119.81
_cell_angle_gamma 90.00
_space_group_name_H-M_alt 'C 1 2/m 1'
_space_group_IT_number 12
loop_
_space_group_symop_operation_xyz
'x,y,z'
'-x,-y,-z'
'-x,y,-z'
'x,-y,z'
'x+1/2,y+1/2,z'
'-x+1/2,-y+1/2,-z'
'-x+1/2,y+1/2,-z'
'x+1/2,-y+1/2,z'
loop_
_atom_site_label
_atom_site_type_symbol
_atom_site_fract_x
_atom_site_fract_y
_atom_site_fract_z
Pm1 Pm 0.069 0.000 0.428
Nd1 Nd 0.000 0.000 0.000
Y1 Y 0.145 0.500 0.842
Y2 Y 0.207 0.500 0.294
```

D(E_F), states/eV per cell: 20.9
Calculated formation energy, meV/atom: 32
Spin magnetization, μB/f.u.: 0.00
Uncorrected energy, eV per atom: -5.700
Polymorph energy (0 for the lowest one), meV per atom: 0.0

=====

10.
Compound: Ba8Na2Zn
Source: Alexandria
Functional: PBE
Structure: optimized geometry

Structure (CIF):
```
data_Ba8Na2Zn
_cell_length_a 22.567
_cell_length_b 6.410
_cell_length_c 8.488
_cell_angle_alpha 90.00
_cell_angle_beta 107.96
_cell_angle_gamma 90.00
_space_group_name_H-M_alt 'C 1 2/m 1'
_space_group_IT_number 12
loop_
_space_group_symop_operation_xyz
'x,y,z'
'-x,-y,-z'
'-x,y,-z'
'x,-y,z'
'x+1/2,y+1/2,z'
'-x+1/2,-y+1/2,-z'
'-x+1/2,y+1/2,-z'
'x+1/2,-y+1/2,z'
loop_
_atom_site_label
_atom_site_type_symbol
_atom_site_fract_x
_atom_site_fract_y
_atom_site_fract_z
Ba1 Ba 0.020 0.000 0.295
Ba2 Ba 0.087 0.500 0.921
Ba3 Ba 0.146 0.500 0.470
Ba4 Ba 0.205 0.000 0.803
Na1 Na 0.182 0.000 0.231
Zn1 Zn 0.000 0.500 0.500
```

D(E_F), states/eV per cell: 26.4
Calculated formation energy, meV/atom: 7
Spin magnetization, μB/f.u.: 0.00
Uncorrected energy, eV per atom: -1.747
Polymorph energy (0 for the lowest one), meV per atom: 11.7

=====

11.
Compound: SrY2Sc
Source: Alexandria
Functional: PBE
Structure: optimized geometry

Structure (CIF):
```
data_SrY2Sc
_cell_length_a 5.140
_cell_length_b 5.140
_cell_length_c 10.145
_cell_angle_alpha 90.00
_cell_angle_beta 90.00
_cell_angle_gamma 90.00
_space_group_name_H-M_alt 'I -4 m 2'
_space_group_IT_number 119
_space_group_name_Hall 'I -4 -2'
loop_
_atom_site_label
_atom_site_type_symbol
_atom_site_fract_x
_atom_site_fract_y
_atom_site_fract_z
Sr1 Sr 0.000 0.000 0.000
Y1 Y 0.000 0.000 0.500
Y2 Y 0.000 0.500 0.750
Sc1 Sc 0.000 0.500 0.250
```

D(E_F), states/eV per cell: 17.3
Calculated formation energy, meV/atom: 257
Spin magnetization, μB/f.u.: 0.03
Uncorrected energy, eV per atom: -4.979
Polymorph energy (0 for the lowest one), meV per atom: 147.6

=====

12.
Compound: AlMoHPt2
Source: Alexandria
Functional: PBE
Structure: optimized geometry

Structure (CIF):
```
data_AlMoHPt2
_cell_length_a 4.804
_cell_length_b 4.804
_cell_length_c 5.041
_cell_angle_alpha 90.00
_cell_angle_beta 90.00
_cell_angle_gamma 90.00
_space_group_name_H-M_alt 'P 4/m m m'
_space_group_IT_number 123
_space_group_name_Hall '-P 4 2'
loop_
_atom_site_label
_atom_site_type_symbol
_atom_site_fract_x
_atom_site_fract_y
_atom_site_fract_z
Al1 Al 0.000 0.000 0.000
Mo1 Mo 0.000 0.000 0.500
H1 H 0.500 0.500 0.000
Pt1 Pt 0.000 0.500 0.500
```

D(E_F), states/eV per cell: 3.4
Spin magnetization, μB/f.u.: 0.98
Uncorrected energy, eV per atom: -4.602
Polymorph energy (0 for the lowest one), meV per atom: 1580.4

=====

What is the D(E_F) in the third record? 3.4 states/eV per cell

=====

What is the D(E_F) in the twelfth record? 3.4 states/eV per cell

=====

Which value of spin magnetization does entry 6 give? 7.96 μB/f.u.